DFT (PBE) results for crystalline Ag4MoRh at its relaxed geometry.

## Properties
VASP energy	-4.240	eV per atom
crystal system	cubic
formation energy	0.691	eV per atom
magnetic moment	1.55	μB/f.u.

Cell and atoms, written as CIF:
```
data_Ag4MoRh
_chemical_formula_sum 'Ag16 Mo4 Rh4'
_cell_length_a 7.4839
_cell_length_b 7.4839
_cell_length_c 7.4839
_cell_angle_alpha 90.00
_cell_angle_beta 90.00
_cell_angle_gamma 90.00
_space_group_name_H-M_alt 'F -4 3 m'
_space_group_IT_number 216
_space_group_name_Hall 'F -4 2 3'
loop_
_atom_site_label
_atom_site_fract_x
_atom_site_fract_y
_atom_site_fract_z
Ag1 0.1249 0.1249 0.1249
Mo1 0.0000 0.0000 0.5000
Rh1 0.2500 0.2500 0.7500
```

DFT (PBE) results for crystalline AgMo2Rh at its relaxed geometry.

## Properties
energy above the lowest structure with this stoichiometry	50	kJ/mol of formula units
VASP energy	-7.671	eV per atom
crystal system	tetragonal
formation energy	0.295	eV per atom
magnetic moment	0.00	μB/f.u.

Cell and atoms, written as CIF:
```
data_AgMo2Rh
_chemical_formula_sum 'Ag1 Mo2 Rh1'
_cell_length_a 3.8776
_cell_length_b 3.8776
_cell_length_c 4.1469
_cell_angle_alpha 90.00
_cell_angle_beta 90.00
_cell_angle_gamma 90.00
_space_group_name_H-M_alt 'P 4/m m m'
_space_group_IT_number 123
_space_group_name_Hall '-P 4 2'
loop_
_atom_site_label
_atom_site_fract_x
_atom_site_fract_y
_atom_site_fract_z
Ag1 0.0000 0.0000 0.0000
Mo1 0.0000 0.5000 0.5000
Rh1 0.5000 0.5000 0.0000
```

DFT (PBE) results for crystalline AgMo2Rh at its relaxed geometry.

## Properties
energy above the lowest structure with this stoichiometry	54	kJ/mol of formula units
VASP energy	-7.662	eV per atom
crystal system	tetragonal
formation energy	0.305	eV per atom
magnetic moment	0.00	μB/f.u.

Cell and atoms, written as CIF:
```
data_AgMo2Rh
_chemical_formula_sum 'Ag2 Mo4 Rh2'
_cell_length_a 3.8458
_cell_length_b 3.8458
_cell_length_c 8.4432
_cell_angle_alpha 90.00
_cell_angle_beta 90.00
_cell_angle_gamma 90.00
_space_group_name_H-M_alt 'I 4/m m m'
_space_group_IT_number 139
_space_group_name_Hall '-I 4 2'
loop_
_atom_site_label
_atom_site_fract_x
_atom_site_fract_y
_atom_site_fract_z
Ag1 0.0000 0.0000 0.0000
Mo1 0.0000 0.5000 0.2500
Rh1 0.0000 0.0000 0.5000
```

DFT (PBE) results for crystalline AgMoRh at its relaxed geometry.

## Properties
energy above the lowest structure with this stoichiometry	20	kJ/mol of formula units
VASP energy	-6.811	eV per atom
crystal system	orthorhombic
formation energy	0.200	eV per atom
magnetic moment	0.00	μB/f.u.

Cell and atoms, written as CIF:
```
data_AgMoRh
_chemical_formula_sum 'Ag2 Mo2 Rh2'
_cell_length_a 2.8045
_cell_length_b 3.9281
_cell_length_c 8.4863
_cell_angle_alpha 90.00
_cell_angle_beta 90.00
_cell_angle_gamma 90.00
_space_group_name_H-M_alt 'I m m 2'
_space_group_IT_number 44
loop_
_space_group_symop_operation_xyz
'x,y,z'
'-x,-y,z'
'-x,y,z'
'x,-y,z'
'x+1/2,y+1/2,z+1/2'
'-x+1/2,-y+1/2,z+1/2'
'-x+1/2,y+1/2,z+1/2'
'x+1/2,-y+1/2,z+1/2'
loop_
_atom_site_label
_atom_site_fract_x
_atom_site_fract_y
_atom_site_fract_z
Ag1 0.0000 0.0000 0.0000
Mo1 0.0000 0.0000 0.6754
Rh1 0.0000 0.0000 0.3259
```

DFT (PBE) results for crystalline AgMoRh3 at its relaxed geometry.

## Properties
energy above the lowest structure with this stoichiometry	535	kJ/mol of formula units
VASP energy	-4.995	eV per atom
crystal system	cubic
formation energy	2.153	eV per atom
magnetic moment	0.00	μB/f.u.

Cell and atoms, written as CIF:
```
data_AgMoRh3
_chemical_formula_sum 'Ag1 Mo1 Rh3'
_cell_length_a 4.6755
_cell_length_b 4.6755
_cell_length_c 4.6755
_cell_angle_alpha 90.00
_cell_angle_beta 90.00
_cell_angle_gamma 90.00
_space_group_name_H-M_alt 'P m -3 m'
_space_group_IT_number 221
_space_group_name_Hall '-P 4 2 3'
loop_
_atom_site_label
_atom_site_fract_x
_atom_site_fract_y
_atom_site_fract_z
Ag1 0.0000 0.0000 0.0000
Mo1 0.5000 0.5000 0.5000
Rh1 0.0000 0.0000 0.5000
```

DFT (PBE) results for crystalline AgMo2Rh at its relaxed geometry.

## Properties
energy above the lowest structure with this stoichiometry	40	kJ/mol of formula units
VASP energy	-7.696	eV per atom
crystal system	monoclinic
formation energy	0.271	eV per atom
magnetic moment	0.00	μB/f.u.

Cell and atoms, written as CIF:
```
data_AgMo2Rh
_chemical_formula_sum 'Ag2 Mo4 Rh2'
_cell_length_a 9.2433
_cell_length_b 2.7451
_cell_length_c 5.0173
_cell_angle_alpha 90.00
_cell_angle_beta 98.74
_cell_angle_gamma 90.00
_space_group_name_H-M_alt 'C 1 m 1'
_space_group_IT_number 8
loop_
_space_group_symop_operation_xyz
'x,y,z'
'x,-y,z'
'x+1/2,y+1/2,z'
'x+1/2,-y+1/2,z'
loop_
_atom_site_label
_atom_site_fract_x
_atom_site_fract_y
_atom_site_fract_z
Ag1 0.0000 0.0000 0.0000
Mo1 0.2453 0.0000 0.7486
Mo2 0.4922 0.0000 0.4890
Rh1 0.2550 0.5000 0.2626
```

Please write out number 6 again, unchanged.
DFT (PBE) results for crystalline AgMo2Rh at its relaxed geometry.

## Properties
energy above the lowest structure with this stoichiometry	40	kJ/mol of formula units
VASP energy	-7.696	eV per atom
crystal system	monoclinic
formation energy	0.271	eV per atom
magnetic moment	0.00	μB/f.u.

Cell and atoms, written as CIF:
```
data_AgMo2Rh
_chemical_formula_sum 'Ag2 Mo4 Rh2'
_cell_length_a 9.2433
_cell_length_b 2.7451
_cell_length_c 5.0173
_cell_angle_alpha 90.00
_cell_angle_beta 98.74
_cell_angle_gamma 90.00
_space_group_name_H-M_alt 'C 1 m 1'
_space_group_IT_number 8
loop_
_space_group_symop_operation_xyz
'x,y,z'
'x,-y,z'
'x+1/2,y+1/2,z'
'x+1/2,-y+1/2,z'
loop_
_atom_site_label
_atom_site_fract_x
_atom_site_fract_y
_atom_site_fract_z
Ag1 0.0000 0.0000 0.0000
Mo1 0.2453 0.0000 0.7486
Mo2 0.4922 0.0000 0.4890
Rh1 0.2550 0.5000 0.2626
```

> What is the formula in the fifth record?

AgMoRh3